Material: Ta2SbSe
Method: DFT, GGA-PBE
State: relaxed

a = 9.336 Å, b = 3.340 Å, c = 5.252 Å
α = 90.00°, β = 104.03°, γ = 90.00°
Space group Cm (No. 8)
One atom of each set of equivalent atoms:
1 Ta 0.000 0.000 0.000 [2 per cell]
2 Ta 0.244 0.500 0.286 [2 per cell]
3 Sb 0.250 0.000 0.784 [2 per cell]
4 Se 0.480 0.000 0.389 [2 per cell]

As for the spin magnetization: 0.0000 μB/atom. The uncorrected energy comes out at -7.9154 eV/atom. The calculation puts the formation energy without anion corrections at -0.09 eV per atom. The excess energy over the best structure of this formula in the dataset comes out at 0.126 eV/atom.

***

Material: TaSbSe2
Method: DFT, GGA-PBE
State: relaxed

a = 6.877 Å, b = 6.877 Å, c = 6.877 Å
α = 90.00°, β = 90.00°, γ = 90.00°
Space group F-43m (No. 216)
One atom of each set of equivalent atoms:
1 Ta 0.000 0.000 0.000 [4 per cell]
2 Sb 0.250 0.250 0.250 [4 per cell]
3 Se 0.000 0.000 0.500 [4 per cell]
4 Se 0.250 0.250 0.750 [4 per cell]

As for the spin magnetization: 0.0000 μB/atom. The uncorrected energy comes out at -5.2969 eV/atom. The calculation puts the formation energy without anion corrections at 0.44 eV per atom.

***

Material: Ta2SbSe
Method: DFT, GGA-PBE
State: relaxed

a = 6.674 Å, b = 6.674 Å, c = 6.674 Å
α = 90.00°, β = 90.00°, γ = 90.00°
Space group Fm-3m (No. 225)
One atom of each set of equivalent atoms:
1 Ta 0.250 0.250 0.250 [8 per cell]
2 Sb 0.000 0.000 0.000 [4 per cell]
3 Se 0.000 0.000 0.500 [4 per cell]

As for the spin magnetization: 0.0000 μB/atom. The uncorrected energy comes out at -7.7744 eV/atom. The calculation puts the formation energy without anion corrections at 0.05 eV per atom. The excess energy over the best structure of this formula in the dataset comes out at 0.267 eV/atom.

***

Material: TaSbSe
Method: DFT, GGA-PBE
State: relaxed

a = 6.498 Å, b = 6.498 Å, c = 6.498 Å
α = 90.00°, β = 90.00°, γ = 90.00°
Space group F-43m (No. 216)
One atom of each set of equivalent atoms:
1 Ta 0.000 0.000 0.000 [4 per cell]
2 Sb 0.000 0.000 0.500 [4 per cell]
3 Se 0.250 0.250 0.750 [4 per cell]

As for the spin magnetization: 0.0000 μB/atom. The uncorrected energy comes out at -5.8221 eV/atom. The calculation puts the formation energy without anion corrections at 0.66 eV per atom.

***

Material: TaSb2Se
Method: DFT, GGA-PBE
State: relaxed

a = 9.192 Å, b = 3.464 Å, c = 6.569 Å
α = 90.00°, β = 108.27°, γ = 90.00°
Space group Cm (No. 8)
One atom of each set of equivalent atoms:
1 Ta 0.000 0.000 0.000 [2 per cell]
2 Sb 0.045 0.500 0.364 [2 per cell]
3 Sb 0.350 0.000 0.640 [2 per cell]
4 Se 0.210 0.500 0.999 [2 per cell]

As for the spin magnetization: 0.0000 μB/atom. The uncorrected energy comes out at -5.9865 eV/atom. The calculation puts the formation energy without anion corrections at -0.09 eV per atom.

***

Material: TaSbSe2
Method: DFT, GGA-PBE
State: relaxed

a = 3.451 Å, b = 5.025 Å, c = 5.281 Å
α = 90.00°, β = 108.88°, γ = 90.00°
Space group Pm (No. 6)
One atom of each set of equivalent atoms:
1 Ta 0.000 0.000 0.000 [1 per cell]
2 Sb 0.615 0.500 0.226 [1 per cell]
3 Se 0.305 0.000 0.606 [1 per cell]
4 Se 0.898 0.500 0.790 [1 per cell]

As for the spin magnetization: 0.0000 μB/atom. The uncorrected energy comes out at -5.7663 eV/atom. The calculation puts the formation energy without anion corrections at -0.03 eV per atom.

***

Material: TaSbSe2
Method: DFT, GGA-PBE
State: relaxed

a = 5.685 Å, b = 3.310 Å, c = 5.801 Å
α = 90.00°, β = 119.10°, γ = 90.00°
Space group P2/m (No. 10)
One atom of each set of equivalent atoms:
1 Ta 0.000 0.000 0.000 [1 per cell]
2 Sb 0.500 0.000 0.500 [1 per cell]
3 Se 0.201 0.500 0.810 [2 per cell]

As for the spin magnetization: 0.0000 μB/atom. The uncorrected energy comes out at -5.9304 eV/atom. The calculation puts the formation energy without anion corrections at -0.19 eV per atom.

***

Material: TaSbSe2
Method: DFT, GGA-PBE
State: relaxed

a = 3.4354 Å, b = 3.4354 Å, c = 28.0836 Å
α = 90.00°, β = 90.00°, γ = 120.00°
Space group R-3m (No. 166, hexagonal axes)
One atom of each set of equivalent atoms:
1 Ta 0.0000 0.0000 0.0000 [3 per cell]
2 Sb 0.0000 0.0000 0.5000 [3 per cell]
3 Se 0.0000 0.0000 0.3939 [6 per cell]

As for the spin magnetization: 0.0000 μB/atom. The uncorrected energy comes out at -6.1782 eV/atom. The calculation puts the formation energy without anion corrections at -0.44 eV per atom.

***

Material: TaSb2Se
Method: DFT, GGA-PBE
State: relaxed

a = 3.234 Å, b = 4.878 Å, c = 13.953 Å
α = 90.00°, β = 90.00°, γ = 90.00°
Space group Imm2 (No. 44)
One atom of each set of equivalent atoms:
1 Ta 0.000 0.000 0.000 [2 per cell]
2 Sb 0.000 0.000 0.440 [2 per cell]
3 Sb 0.000 0.500 0.313 [2 per cell]
4 Se 0.000 0.500 0.639 [2 per cell]

As for the spin magnetization: 0.0001 μB/atom. The uncorrected energy comes out at -5.8309 eV/atom. The calculation puts the formation energy without anion corrections at 0.06 eV per atom.

***

Material: TaSb3Se
Method: DFT, GGA-PBE
State: relaxed

a = 5.316 Å, b = 5.316 Å, c = 5.316 Å
α = 90.00°, β = 90.00°, γ = 90.00°
Space group Pm-3m (No. 221)
One atom of each set of equivalent atoms:
1 Ta 0.000 0.000 0.000 [1 per cell]
2 Sb 0.000 0.000 0.500 [3 per cell]
3 Se 0.500 0.500 0.500 [1 per cell]

As for the spin magnetization: 0.0000 μB/atom. The uncorrected energy comes out at -5.0895 eV/atom. The calculation puts the formation energy without anion corrections at 0.45 eV per atom. The excess energy over the best structure of this formula in the dataset comes out at 0.000 eV/atom.

***

Material: TaSb2Se
Method: DFT, GGA-PBE
State: relaxed

a = 5.222 Å, b = 5.222 Å, c = 3.204 Å
α = 90.00°, β = 90.00°, γ = 90.00°
Space group P4/mmm (No. 123)
One atom of each set of equivalent atoms:
1 Ta 0.000 0.000 0.000 [1 per cell]
2 Sb 0.000 0.500 0.500 [2 per cell]
3 Se 0.500 0.500 0.000 [1 per cell]

As for the spin magnetization: 0.0001 μB/atom. The uncorrected energy comes out at -5.4389 eV/atom. The calculation puts the formation energy without anion corrections at 0.46 eV per atom.

***

Material: TaSb2Se
Method: DFT, GGA-PBE
State: relaxed

a = 3.5965 Å, b = 3.5965 Å, c = 24.4528 Å
α = 90.00°, β = 90.00°, γ = 120.00°
Space group R-3m (No. 166, hexagonal axes)
One atom of each set of equivalent atoms:
1 Ta 0.0000 0.0000 0.0000 [3 per cell]
2 Sb 0.0000 0.0000 0.2535 [6 per cell]
3 Se 0.0000 0.0000 0.5000 [3 per cell]

As for the spin magnetization: 0.0000 μB/atom. The uncorrected energy comes out at -5.6993 eV/atom. The calculation puts the formation energy without anion corrections at 0.20 eV per atom.

***

Material: TaSb2Se
Method: DFT, GGA-PBE
State: relaxed

a = 6.474 Å, b = 6.474 Å, c = 12.653 Å
α = 90.00°, β = 90.00°, γ = 90.00°
Space group I-42d (No. 122)
One atom of each set of equivalent atoms:
1 Ta 0.000 0.000 0.000 [4 per cell]
2 Sb 0.223 0.250 0.125 [8 per cell]
3 Se 0.000 0.000 0.500 [4 per cell]

As for the spin magnetization: 0.0000 μB/atom. The uncorrected energy comes out at -5.2661 eV/atom. The calculation puts the formation energy without anion corrections at 0.63 eV per atom.

***

Material: TaSbSe2
Method: DFT, GGA-PBE
State: relaxed

a = 3.4501 Å, b = 3.4501 Å, c = 27.4764 Å
α = 90.00°, β = 90.00°, γ = 120.00°
Space group R3m (No. 160, hexagonal axes)
One atom of each set of equivalent atoms:
1 Ta 0.0000 0.0000 0.0000 [3 per cell]
2 Sb 0.0000 0.0000 0.2549 [3 per cell]
3 Se 0.0000 0.0000 0.5190 [3 per cell]
4 Se 0.0000 0.0000 0.7272 [3 per cell]

As for the spin magnetization: 0.0000 μB/atom. The uncorrected energy comes out at -5.9198 eV/atom. The calculation puts the formation energy without anion corrections at -0.18 eV per atom.

***

Material: TaSbSe2
Method: DFT, GGA-PBE
State: relaxed

a = 4.420 Å, b = 9.821 Å, c = 7.987 Å
α = 90.00°, β = 90.00°, γ = 90.00°
Space group Cmcm (No. 63)
One atom of each set of equivalent atoms:
1 Ta 0.000 0.226 0.250 [4 per cell]
2 Sb 0.000 0.079 0.750 [4 per cell]
3 Se 0.000 0.348 0.558 [8 per cell]

As for the spin magnetization: 0.0000 μB/atom. The uncorrected energy comes out at -5.9117 eV/atom. The calculation puts the formation energy without anion corrections at -0.18 eV per atom.